[1]
A plane-wave DFT calculation with PBEsol was carried out for crystalline Nb2TlCo at its relaxed geometry.

a b c (Å): 4.5834 4.5834 4.5834
angles (deg): 60.00 60.00 60.00
With the nearest neighbours (Å) after each atom.
Sites, in units of the cell vectors:
Nb (0.2500, 0.2500, 0.2500)  4 Tl 2.81, 4 Co 2.81
Nb (0.7500, 0.7500, 0.7500)  4 Co 2.81, 4 Tl 2.81
Tl (0.0000, 0.0000, 0.0000)  8 Nb 2.81
Co (0.5000, 0.5000, 0.5000)  8 Nb 2.81

energy relative to the elements: 463 meV/atom

---

[2]
A plane-wave DFT calculation with PBEsol was carried out for crystalline Ba2B5BrO9 at its relaxed geometry.

a b c (Å): 11.6509 11.7595 6.6780
angles (deg): 90.00 90.00 90.00
With the nearest neighbours (Å) after each atom.
Sites, in units of the cell vectors:
Ba (0.0467, 0.2377, 0.0000)  5 O 2.65-2.84
Ba (0.2276, 0.4757, 0.6536)  6 O 2.68-2.95
Ba (0.2724, 0.9757, 0.1536)  6 O 2.68-2.95
Ba (0.4533, 0.7377, 0.5000)  5 O 2.65-2.84
Ba (0.5467, 0.2623, 0.5000)  5 O 2.65-2.84
Ba (0.7276, 0.0243, 0.1536)  6 O 2.68-2.95
Ba (0.7724, 0.5243, 0.6536)  6 O 2.68-2.95
Ba (0.9533, 0.7623, 0.0000)  5 O 2.65-2.84
B (0.0092, 0.7526, 0.5219)  3 O 1.37-1.38
B (0.1833, 0.7286, 0.3061)  4 O 1.47-1.50
B (0.2016, 0.8191, 0.6522)  4 O 1.48-1.49
B (0.2173, 0.2116, 0.4720)  4 O 1.45-1.53
B (0.2315, 0.0425, 0.6865)  3 O 1.36-1.40
B (0.2685, 0.5425, 0.1865)  3 O 1.36-1.40
B (0.2827, 0.7116, 0.9720)  4 O 1.45-1.53
B (0.2984, 0.3191, 0.1522)  4 O 1.48-1.49
B (0.3167, 0.2286, 0.8061)  4 O 1.47-1.50
B (0.4908, 0.2526, 0.0219)  3 O 1.37-1.38
B (0.5092, 0.7474, 0.0219)  3 O 1.37-1.38
B (0.6833, 0.7714, 0.8061)  4 O 1.47-1.50
B (0.7016, 0.6809, 0.1522)  4 O 1.48-1.49
B (0.7173, 0.2884, 0.9720)  4 O 1.45-1.53
B (0.7315, 0.4575, 0.1865)  3 O 1.36-1.40
B (0.7685, 0.9575, 0.6865)  3 O 1.36-1.40
B (0.7827, 0.7884, 0.4720)  4 O 1.45-1.53
B (0.7984, 0.1809, 0.6522)  4 O 1.48-1.49
B (0.8167, 0.2714, 0.3061)  4 O 1.47-1.50
B (0.9908, 0.2474, 0.5219)  3 O 1.37-1.38
Br (0.0000, 0.0000, 0.2006)  4 Ba 3.15-3.20, 2 O 3.34
Br (0.0000, 0.5000, 0.9145)  4 Ba 3.18-3.19, 2 O 3.53
Br (0.5000, 0.0000, 0.4145)  4 Ba 3.18-3.19, 2 O 3.53
Br (0.5000, 0.5000, 0.7006)  4 Ba 3.15-3.20, 2 O 3.34
O (0.0589, 0.7124, 0.3496)  2 B 1.37-1.49
O (0.0756, 0.7986, 0.6720)  2 B 1.38-1.49
O (0.1068, 0.2618, 0.5583)  2 B 1.38-1.53
O (0.1908, 0.7611, 0.0946)  2 B 1.47
O (0.2132, 0.0848, 0.4989)  2 B 1.36-1.50
O (0.2281, 0.9308, 0.7429)  2 B 1.37-1.48
O (0.2316, 0.2308, 0.2588)  2 B 1.45-1.48
O (0.2332, 0.8157, 0.4382)  2 B 1.47-1.48
O (0.2448, 0.6186, 0.3420)  2 B 1.40-1.50
O (0.2552, 0.1186, 0.8420)  2 B 1.40-1.50
O (0.2668, 0.3157, 0.9382)  2 B 1.47-1.48
O (0.2684, 0.7308, 0.7588)  2 B 1.45-1.48
O (0.2719, 0.4308, 0.2429)  2 B 1.37-1.48
O (0.2868, 0.5848, 0.9989)  2 B 1.36-1.50
O (0.3092, 0.2611, 0.5946)  2 B 1.47
O (0.3932, 0.7618, 0.0583)  2 B 1.38-1.53
O (0.4244, 0.2986, 0.1720)  2 B 1.38-1.49
O (0.4411, 0.2124, 0.8496)  2 B 1.37-1.49
O (0.5589, 0.7876, 0.8496)  2 B 1.37-1.49
O (0.5756, 0.7014, 0.1720)  2 B 1.38-1.49
O (0.6068, 0.2382, 0.0583)  2 B 1.38-1.53
O (0.6908, 0.7389, 0.5946)  2 B 1.47
O (0.7132, 0.4152, 0.9989)  2 B 1.36-1.50
O (0.7281, 0.5692, 0.2429)  2 B 1.37-1.48
O (0.7316, 0.2692, 0.7588)  2 B 1.45-1.48
O (0.7332, 0.6843, 0.9382)  2 B 1.47-1.48
O (0.7448, 0.8814, 0.8420)  2 B 1.40-1.50
O (0.7552, 0.3814, 0.3420)  2 B 1.40-1.50
O (0.7668, 0.1843, 0.4382)  2 B 1.47-1.48
O (0.7684, 0.7692, 0.2588)  2 B 1.45-1.48
O (0.7719, 0.0692, 0.7429)  2 B 1.37-1.48
O (0.7868, 0.9152, 0.4989)  2 B 1.36-1.50
O (0.8092, 0.2389, 0.0946)  2 B 1.47
O (0.8932, 0.7382, 0.5583)  2 B 1.38-1.53
O (0.9244, 0.2014, 0.6720)  2 B 1.38-1.49
O (0.9411, 0.2876, 0.3496)  2 B 1.37-1.49

energy relative to the elements, uncorrected: -2.65 eV/atom

---

[3]
A plane-wave DFT calculation with PBEsol was carried out for crystalline MnIn2NiCl at its relaxed geometry.

a b c (Å): 5.0630 5.0630 4.3029
angles (deg): 90.00 90.00 90.00
With the nearest neighbours (Å) after each atom.
Sites, in units of the cell vectors:
Mn (0.0000, 0.0000, 0.0000)  8 In 3.32, 4 Cl 3.58
In (0.0000, 0.5000, 0.5000)  2 Ni 2.53
In (0.5000, 0.0000, 0.5000)  2 Ni 2.53
Ni (0.5000, 0.5000, 0.5000)  2 Cl 2.15
Cl (0.5000, 0.5000, 0.0000)  2 Ni 2.15

energy relative to the elements, uncorrected: 0.45 eV/atom

---

[4]
A plane-wave DFT calculation with PBEsol was carried out for crystalline LaSi2Bi at its relaxed geometry.

a b c (Å): 6.4962 6.4962 6.4962
angles (deg): 103.87 103.87 121.38
With the nearest neighbours (Å) after each atom.
Sites, in units of the cell vectors:
La (0.0000, 0.0000, 0.0000)  4 Si 3.02, 2 Bi 3.18
La (0.7500, 0.2500, 0.5000)  4 Si 3.02, 2 Bi 3.18
Si (0.1393, 0.1250, 0.5143)  2 Bi 2.87, 2 La 3.02, 2 Si 3.19
Si (0.3750, 0.8607, 0.9857)  2 Bi 2.87, 2 La 3.02, 2 Si 3.19
Si (0.6107, 0.6250, 0.4857)  2 Bi 2.87, 2 La 3.02, 2 Si 3.19
Si (0.8750, 0.3893, 0.0143)  2 Bi 2.87, 2 La 3.02, 2 Si 3.19
Bi (0.2500, 0.7500, 0.5000)  4 Si 2.87, 2 La 3.18
Bi (0.5000, 0.5000, 0.0000)  4 Si 2.87, 2 La 3.18

energy relative to the elements, uncorrected: 0.03 eV/atom

---

[5]
A plane-wave DFT calculation with PBEsol was carried out for crystalline Tm2GeO5 at its relaxed geometry.

a b c (Å): 6.1932 6.1932 7.0781
angles (deg): 109.27 109.27 48.62
With the nearest neighbours (Å) after each atom.
Sites, in units of the cell vectors:
Tm (0.1104, 0.2003, 0.3041)  5 O 2.12-2.27
Tm (0.2003, 0.1104, 0.8041)  5 O 2.12-2.27
Tm (0.7997, 0.8896, 0.1959)  5 O 2.12-2.27
Tm (0.8896, 0.7997, 0.6959)  5 O 2.12-2.27
Ge (0.5000, 0.5000, 0.0000)  6 O 1.83-2.00
Ge (0.5000, 0.5000, 0.5000)  6 O 1.83-2.00
O (0.1185, 0.6874, 0.0087)  1 Ge 1.83
O (0.1315, 0.5481, 0.3856)  1 Ge 2.00, 2 Tm 2.12-2.19
O (0.3126, 0.8815, 0.4913)  1 Ge 1.83
O (0.3498, 0.6502, 0.7500)  2 Ge 1.93
O (0.4519, 0.8685, 0.1144)  1 Ge 2.00, 2 Tm 2.12-2.19
O (0.5481, 0.1315, 0.8856)  1 Ge 2.00, 2 Tm 2.12-2.19
O (0.6502, 0.3498, 0.2500)  2 Ge 1.93
O (0.6874, 0.1185, 0.5087)  1 Ge 1.83
O (0.8685, 0.4519, 0.6144)  1 Ge 2.00, 2 Tm 2.12-2.19
O (0.8815, 0.3126, 0.9913)  1 Ge 1.83

energy relative to the elements, uncorrected: -2.94 eV/atom

---

[6]
A plane-wave DFT calculation with PBEsol was carried out for crystalline InSiMo2 at its relaxed geometry.

a b c (Å): 8.8205 8.8205 8.8205
angles (deg): 19.09 19.09 19.09
With the nearest neighbours (Å) after each atom.
Sites, in units of the cell vectors:
In (0.0000, 0.0000, 0.0000)  6 Mo 2.90, 6 In 2.93
Si (0.5000, 0.5000, 0.5000)  6 Mo 2.59
Mo (0.2425, 0.2425, 0.2425)  3 Si 2.59, 3 In 2.90
Mo (0.7575, 0.7575, 0.7575)  3 Si 2.59, 3 In 2.90

energy relative to the elements, uncorrected: 0.20 eV/atom

---

The evaluated spin magnetization for the records listed, in turn: 1.95; 0.00; 4.40; 0.00; 0.00; 0.00 μB per cell.